Entry 1:
First-principles (PBE) data for crystalline La2HfTa at its relaxed geometry, as listed in Alexandria.

Unit cell a=5.2972 b=5.2972 c=5.2972 alpha=60.00 beta=60.00 gamma=60.00
Last column: nearest neighbours and their distance in Å.
Atoms (fractional coordinates):
La  0.2500  0.2500  0.2500  4 Ta 3.24, 4 Hf 3.24
La  0.7500  0.7500  0.7500  4 Ta 3.24, 4 Hf 3.24
Hf  0.0000  0.0000  0.0000  8 La 3.24
Ta  0.5000  0.5000  0.5000  8 La 3.24

Summary:
* ΔH_f (0 K): 0.5890 eV/atom
* space-group type: Fm-3m (225)
* uncorrected energy: -7.33 eV/atom
* N(E_F): 6.27 states/eV/cell

***

Entry 2:
First-principles (PBE) data for crystalline MgTi2Pd7 at its relaxed geometry, as listed in Alexandria.

Unit cell a=4.2734 b=7.3447 c=7.3447 alpha=121.72 beta=90.00 gamma=90.00
Last column: nearest neighbours and their distance in Å.
Atoms (fractional coordinates):
Mg  0.0000  0.0000  0.0000  10 Pd 2.68-2.91
Ti  0.5000  0.6967  0.3033  5 Pd 2.45-2.52
Ti  0.5000  0.3033  0.6967  5 Pd 2.45-2.52
Pd  0.0000  0.7907  0.2092  2 Ti 2.45, 1 Mg 2.68
Pd  0.0000  0.2092  0.7908  2 Ti 2.45, 1 Mg 2.68
Pd  0.5000  0.0750  0.3003  1 Ti 2.48, 2 Pd 2.66-2.68
Pd  0.5000  0.9250  0.6997  1 Ti 2.48, 2 Pd 2.66-2.68
Pd  0.5000  0.3003  0.0750  1 Ti 2.48, 2 Pd 2.66-2.68
Pd  0.5000  0.6997  0.9250  1 Ti 2.48, 2 Pd 2.66-2.68
Pd  0.5000  0.5000  0.5000  2 Ti 2.52, 4 Pd 2.66

Summary:
* ΔH_f (0 K): -0.0352 eV/atom
* space-group type: Cmmm (65)
* uncorrected energy: -5.41 eV/atom
* N(E_F): 7.18 states/eV/cell

***

Q: ΔH_f (0 K) of number 2 (MgTi2Pd7)?
A: -0.0352 eV/atom

***

Q: Which of these has the lowest ΔH_f (0 K)?
A: MgTi2Pd7